The following is a PBE-GGA calculation of Ti2HO after structural relaxation, from the Alexandria database.

Unit cell a=2.8799 b=2.8799 c=15.8352 alpha=90.00 beta=90.00 gamma=120.00
Space group R3m (No. 160, hexagonal axes)
One atom of each set of equivalent atoms:
1 Ti 0.0000 0.0000 0.0000
2 Ti 0.0000 0.0000 0.1767
3 H 0.0000 0.0000 0.5824
4 O 0.0000 0.0000 0.7550

Calculated values
* energy relative to the lowest polymorph listed for this composition: 0 meV per atom
* total energy: -0.27346 hartree per atom
* crystal system: trigonal
* D(E_F): 3.3 states/eV/f.u.